Material: Li4Ti3V2Ni3O16
Method: DFT, PBE+U
State: optimized geometry

```
Li4Ti3V2Ni3O16
1.0
2.9496 5.1467 0.0123
-2.9496 5.1467 0.0123
0.0000 0.0377 9.5878
O Ti Li Ni V
16 3 4 3 2
direct
0.8210 0.8210 0.4190
0.4731 0.0353 0.1466
0.6496 0.1770 0.9118
0.0353 0.4731 0.1466
0.0047 0.0047 0.2066
0.9639 0.5102 0.6568
0.1652 0.1652 0.8985
0.3543 0.8200 0.4148
0.3178 0.3178 0.3936
0.8200 0.3543 0.4148
0.5102 0.9639 0.6568
0.4776 0.4776 0.1451
0.5218 0.5218 0.6621
0.0029 0.0029 0.6962
0.1770 0.6496 0.9118
0.6560 0.6560 0.8951
0.8487 0.3505 0.7777
0.1807 0.1807 0.2623
0.3505 0.8487 0.7777
0.3368 0.3368 0.5936
0.9952 0.9952 0.0151
0.6670 0.6670 0.0960
0.9977 0.9977 0.5044
0.1650 0.6565 0.2927
0.8307 0.8307 0.7915
0.6565 0.1650 0.2927
0.3568 0.3568 0.0138
0.6638 0.6638 0.4982
```

space-group type: Cm
magnetic moment: 6.0 μB/f.u.
final energy: -6.885 eV per atom
crystal system: monoclinic